A plane-wave DFT calculation with PBE was carried out for an optimized crystal structure of Be2SbP.

Results
Formation energy (no corrections) (eV/atom): 0.850
DFT total energy (eV per atom): -3.3959
SG: F-43m
Density of states at the Fermi level (states/eV per cell): 2.34
Energy relative to the lowest polymorph listed for this composition (eV per formula unit): 3.22
Volume (A^3/atom): 15.4

Cell: 4.4331 4.4331 4.4331 Å, 60.00 60.00 60.00°
With the nearest neighbours (Å) after each atom.
Fractional positions:
Sb 0.7500 0.7500 0.7500  4 P 2.71, 4 Be 2.71
Be 0.0000 0.0000 0.0000  4 Sb 2.71, 4 Be 2.71
Be 0.2500 0.2500 0.2500  4 P 2.71, 4 Be 2.71
P 0.5000 0.5000 0.5000  4 Sb 2.71, 4 Be 2.71